[1]
PBE LaGaS3, optimized geometry; raw formation energy = -1.45 eV/atom; space group = P2_1/c (14); energy relative to the lowest polymorph listed for this composition = 0.000 eV per atom; ρ = 4294 kg/m³; energy = -5.521 eV/atom
1.0
-6.8756 2.3693 -7.7289
-7.0786 -6.2933 4.3679
-5.7668 8.5871 7.7624
La Ga S
12 12 36
Direct
0.0307 0.0571 0.6723
0.5307 0.9429 0.8277
0.9693 0.9429 0.3277
0.4693 0.0571 0.1723
0.0528 0.4848 0.6751
0.5528 0.5152 0.8249
0.9472 0.5152 0.3249
0.4472 0.4848 0.1751
0.1438 0.8136 0.0585
0.6438 0.1864 0.4415
0.8562 0.1864 0.9415
0.3562 0.8136 0.5585
0.0815 0.2518 0.1459
0.5815 0.7482 0.3541
0.9185 0.7482 0.8541
0.4185 0.2518 0.6459
0.2291 0.1983 0.4236
0.7291 0.8017 0.0764
0.7709 0.8017 0.5764
0.2709 0.1983 0.9236
0.2534 0.6865 0.8311
0.7534 0.3135 0.6689
0.7466 0.3135 0.1689
0.2466 0.6865 0.3311
0.2332 0.8949 0.2495
0.7332 0.1051 0.2505
0.7668 0.1051 0.7505
0.2668 0.8949 0.7495
0.2784 0.2933 0.0762
0.7784 0.7067 0.4238
0.7216 0.7067 0.9238
0.2216 0.2933 0.5762
0.3102 0.5641 0.7057
0.8102 0.4359 0.7943
0.6898 0.4359 0.2943
0.1898 0.5641 0.2057
0.3376 0.9935 0.9862
0.8376 0.0065 0.5138
0.4512 0.2486 0.8230
0.6624 0.0065 0.0138
0.4118 0.6681 0.9551
0.9118 0.3319 0.5449
0.5882 0.3319 0.0449
0.0882 0.6681 0.4551
0.4064 0.2474 0.3258
0.9064 0.7526 0.1742
0.5936 0.7526 0.6742
0.0936 0.2474 0.8258
0.0138 0.0588 0.1080
0.5138 0.9412 0.3920
0.9862 0.9412 0.8920
0.4862 0.0588 0.6080
0.0762 0.6042 0.9172
0.5762 0.3958 0.5828
0.9238 0.3958 0.0828
0.4238 0.6042 0.4172
0.0488 0.2486 0.3230
0.5488 0.7514 0.1770
0.9512 0.7514 0.6770
0.1624 0.9935 0.4862

[2]
PBE La2GaS4, optimized geometry; raw formation energy = -1.58 eV/atom; space group = P2_1/m (11); ρ = 4794 kg/m³; energy = -5.779 eV/atom
1.0
6.6794 0.0000 0.0366
0.0000 6.5041 0.0000
-2.4157 0.0000 7.5744
La Ga S
4 2 8
Direct
0.7346 0.7500 0.0613
0.2654 0.2500 0.9387
0.2556 0.2500 0.4419
0.7444 0.7500 0.5581
0.2509 0.7500 0.1887
0.7491 0.2500 0.8113
0.4963 0.4932 0.2507
0.0813 0.7500 0.8906
0.9187 0.2500 0.1094
0.4963 0.0068 0.2507
0.9165 0.2500 0.5979
0.5037 0.9932 0.7493
0.5037 0.5068 0.7493
0.0835 0.7500 0.4021

[3]
PBE La2GaS3, optimized geometry; raw formation energy = -1.56 eV/atom; space group = Immm (71); ρ = 5124 kg/m³; energy = -5.773 eV/atom
1.0
-0.8291 -3.3757 -1.6213
2.7015 1.1292 -3.7327
5.3314 -2.1230 6.2311
La Ga S
2 1 3
Direct
0.6431 0.6431 0.2862
0.3569 0.3569 0.7138
0.0000 0.0000 0.0000
0.0000 0.5000 0.0000
0.8256 0.8256 0.6512
0.1744 0.1744 0.3488

Q: Which formula does entry 1 have?
A: LaGaS3

Q: Number 1 is which compound?
A: LaGaS3

Q: What is the formula in the second record?
A: La2GaS4